(1)
! meta-GGA SCAN LaYMn, PBEsol geometry; values from VASP
! energy: -29.681 eV/atom
! SG: I4mm (107)
! formation enthalpy at 0 K: 0.053 eV per atom
! M_tot: 1.07 μB/atom
&SYSTEM
  ibrav = 0, nat = 3, ntyp = 3
/
ATOMIC_SPECIES
Y 88.91 Y.upf
Mn 54.94 Mn.upf
La 138.91 La.upf
CELL_PARAMETERS angstrom
3.459 0.128 0.000
-0.126 3.459 0.000
-1.667 -1.794 6.501
ATOMIC_POSITIONS angstrom
Y 1.667 1.794 2.624
Mn 0.000 0.000 4.283
La 1.667 1.794 6.093

(2)
! meta-GGA SCAN LaY2Mn, PBEsol geometry; values from VASP
! energy: -29.170 eV/atom
! SG: I-4m2 (119)
! formation enthalpy at 0 K: 0.091 eV per atom
! M_tot: 0.83 μB/atom
&SYSTEM
  ibrav = 0, nat = 4, ntyp = 3
/
ATOMIC_SPECIES
Y 88.91 Y.upf
La 138.91 La.upf
Mn 54.94 Mn.upf
CELL_PARAMETERS angstrom
-0.268 -4.609 -1.030
3.995 1.293 4.037
-1.382 -0.910 4.432
ATOMIC_POSITIONS angstrom
Y 0.000 0.000 0.000
Y 1.585 -0.733 2.869
La -0.825 -2.760 1.701
Mn 0.759 -3.493 4.569

(3)
! meta-GGA SCAN LaMn2Zn2, PBEsol geometry; values from VASP
! energy: -21.426 eV/atom
! SG: I4/mmm (139)
! formation enthalpy at 0 K: -0.097 eV per atom
! M_tot: 1.31 μB/atom
&SYSTEM
  ibrav = 0, nat = 5, ntyp = 3
/
ATOMIC_SPECIES
La 138.91 La.upf
Zn 65.41 Zn.upf
Mn 54.94 Mn.upf
CELL_PARAMETERS angstrom
4.011 0.000 0.000
0.000 4.011 0.000
-2.006 -2.006 5.536
ATOMIC_POSITIONS angstrom
La 0.000 0.000 0.000
Zn 0.000 2.006 2.768
Zn 2.006 0.000 2.768
Mn 0.000 0.000 4.311
Mn 2.006 2.006 1.225

(4)
! meta-GGA SCAN LaMnZn, PBEsol geometry; values from VASP
! energy: -25.072 eV/atom
! SG: I4mm (107)
! formation enthalpy at 0 K: -0.114 eV per atom
! M_tot: 1.07 μB/atom
&SYSTEM
  ibrav = 0, nat = 3, ntyp = 3
/
ATOMIC_SPECIES
Zn 65.41 Zn.upf
La 138.91 La.upf
Mn 54.94 Mn.upf
CELL_PARAMETERS angstrom
3.287 0.000 0.000
0.000 3.287 0.000
-1.644 -1.644 5.583
ATOMIC_POSITIONS angstrom
Zn 0.000 0.000 3.329
La 0.000 0.000 0.058
Mn 1.644 1.644 2.195

(5)
! meta-GGA SCAN LaZr2Mn, PBEsol geometry; values from VASP
! energy relative to the lowest polymorph listed for this composition: 0.173 eV/atom
! energy: -30.456 eV/atom
! SG: F-43m (216)
! formation enthalpy at 0 K: 0.233 eV per atom
! M_tot: 1.15 μB/atom
&SYSTEM
  ibrav = 0, nat = 4, ntyp = 3
/
ATOMIC_SPECIES
Zr 91.22 Zr.upf
Mn 54.94 Mn.upf
La 138.91 La.upf
CELL_PARAMETERS angstrom
4.966 0.000 0.000
2.483 4.301 0.000
2.483 1.434 4.055
ATOMIC_POSITIONS angstrom
Zr 0.000 0.000 0.000
Zr 2.483 1.434 1.014
Mn 7.449 4.301 3.041
La 4.966 2.867 2.027

(6)
! meta-GGA SCAN LaZr2Mn, PBEsol geometry; values from VASP
! energy relative to the lowest polymorph listed for this composition: 0.000 eV/atom
! energy: -30.629 eV/atom
! SG: P4/mmm (123)
! formation enthalpy at 0 K: 0.060 eV per atom
! M_tot: 0.00 μB/atom
&SYSTEM
  ibrav = 0, nat = 4, ntyp = 3
/
ATOMIC_SPECIES
Zr 91.22 Zr.upf
Mn 54.94 Mn.upf
La 138.91 La.upf
CELL_PARAMETERS angstrom
3.197 0.052 0.000
-0.054 3.197 0.000
0.000 0.000 8.266
ATOMIC_POSITIONS angstrom
Zr 0.000 0.000 6.772
Zr 0.000 0.000 1.495
Mn 1.571 1.625 0.000
La 1.571 1.625 4.133

(7)
! meta-GGA SCAN LaZr2Mn, PBEsol geometry; values from VASP
! energy relative to the lowest polymorph listed for this composition: 0.207 eV/atom
! energy: -30.422 eV/atom
! SG: P4/mmm (123)
! formation enthalpy at 0 K: 0.267 eV per atom
! M_tot: 0.79 μB/atom
&SYSTEM
  ibrav = 0, nat = 4, ntyp = 3
/
ATOMIC_SPECIES
Zr 91.22 Zr.upf
La 138.91 La.upf
Mn 54.94 Mn.upf
CELL_PARAMETERS angstrom
3.233 0.000 0.000
0.000 5.087 0.000
0.000 0.000 5.087
ATOMIC_POSITIONS angstrom
Zr 0.000 2.544 0.000
Zr 0.000 0.000 2.544
La 1.616 2.544 2.544
Mn 1.616 0.000 0.000

(8)
! meta-GGA SCAN La3ZrMn, PBEsol geometry; values from VASP
! energy: -35.164 eV/atom
! SG: Pm-3m (221)
! formation enthalpy at 0 K: 0.489 eV per atom
! M_tot: 0.71 μB/atom
&SYSTEM
  ibrav = 0, nat = 5, ntyp = 3
/
ATOMIC_SPECIES
La 138.91 La.upf
Zr 91.22 Zr.upf
Mn 54.94 Mn.upf
CELL_PARAMETERS angstrom
5.189 0.000 0.000
0.000 5.189 0.000
0.000 0.000 5.189
ATOMIC_POSITIONS angstrom
La 0.000 0.000 2.595
La 0.000 2.595 0.000
La 2.595 0.000 0.000
Zr 2.595 2.595 2.595
Mn 0.000 0.000 0.000

(9)
! meta-GGA SCAN La2ZrMn, PBEsol geometry; values from VASP
! energy relative to the lowest polymorph listed for this composition: 0.000 eV/atom
! energy: -33.704 eV/atom
! SG: P4mm (99)
! formation enthalpy at 0 K: 0.087 eV per atom
! M_tot: 0.67 μB/atom
&SYSTEM
  ibrav = 0, nat = 4, ntyp = 3
/
ATOMIC_SPECIES
Zr 91.22 Zr.upf
La 138.91 La.upf
Mn 54.94 Mn.upf
CELL_PARAMETERS angstrom
3.454 0.000 0.000
0.000 3.454 0.000
0.000 0.000 8.313
ATOMIC_POSITIONS angstrom
Zr 1.727 1.727 5.703
La 1.727 1.727 2.529
La 0.000 0.000 8.049
Mn 0.000 0.000 4.502

(10)
! meta-GGA SCAN LaZr2Mn, PBEsol geometry; values from VASP
! energy relative to the lowest polymorph listed for this composition: 0.213 eV/atom
! energy: -30.416 eV/atom
! SG: Imm2 (44)
! formation enthalpy at 0 K: 0.273 eV per atom
! M_tot: 0.00 μB/atom
&SYSTEM
  ibrav = 0, nat = 4, ntyp = 3
/
ATOMIC_SPECIES
Zr 91.22 Zr.upf
La 138.91 La.upf
Mn 54.94 Mn.upf
CELL_PARAMETERS angstrom
-1.717 -2.809 -0.598
3.713 -2.711 2.073
-3.180 3.152 3.684
ATOMIC_POSITIONS angstrom
Zr -1.960 -1.206 1.932
Zr -0.961 -2.407 4.706
La 0.826 -2.729 1.085
Mn 0.724 -1.152 3.331

(11)
! meta-GGA SCAN LaZr2Mn2, PBEsol geometry; values from VASP
! energy: -27.730 eV/atom
! SG: I4/mmm (139)
! formation enthalpy at 0 K: 0.472 eV per atom
! M_tot: 0.49 μB/atom
&SYSTEM
  ibrav = 0, nat = 5, ntyp = 3
/
ATOMIC_SPECIES
Mn 54.94 Mn.upf
Zr 91.22 Zr.upf
La 138.91 La.upf
CELL_PARAMETERS angstrom
-1.413 -3.076 2.565
3.015 -2.607 -1.466
2.662 4.593 3.459
ATOMIC_POSITIONS angstrom
Mn 3.239 -0.428 1.271
Mn 1.025 -0.662 3.287
Zr 1.752 -2.361 1.650
Zr 2.512 1.271 2.908
La 0.000 0.000 0.000

(12)
! meta-GGA SCAN La2ZrMn, PBEsol geometry; values from VASP
! energy relative to the lowest polymorph listed for this composition: 0.223 eV/atom
! energy: -33.482 eV/atom
! SG: Immm (71)
! formation enthalpy at 0 K: 0.309 eV per atom
! M_tot: 0.27 μB/atom
&SYSTEM
  ibrav = 0, nat = 4, ntyp = 3
/
ATOMIC_SPECIES
Zr 91.22 Zr.upf
La 138.91 La.upf
Mn 54.94 Mn.upf
CELL_PARAMETERS angstrom
3.531 0.000 0.000
0.000 5.164 0.000
-1.766 -2.582 5.171
ATOMIC_POSITIONS angstrom
Zr 1.766 0.000 0.000
La 0.000 0.000 3.090
La 1.766 2.582 2.082
Mn 0.000 2.582 0.000

(13)
! meta-GGA SCAN LaZrMn, PBEsol geometry; values from VASP
! energy: -30.263 eV/atom
! SG: F-43m (216)
! formation enthalpy at 0 K: 0.423 eV per atom
! M_tot: 0.20 μB/atom
&SYSTEM
  ibrav = 0, nat = 3, ntyp = 3
/
ATOMIC_SPECIES
Mn 54.94 Mn.upf
Zr 91.22 Zr.upf
La 138.91 La.upf
CELL_PARAMETERS angstrom
4.547 0.000 0.000
2.273 3.937 0.000
2.273 1.312 3.712
ATOMIC_POSITIONS angstrom
Mn 2.273 1.312 0.928
Zr 0.000 0.000 0.000
La 4.547 2.625 1.856

(14)
! meta-GGA SCAN LaZr2Mn, PBEsol geometry; values from VASP
! energy relative to the lowest polymorph listed for this composition: 0.113 eV/atom
! energy: -30.516 eV/atom
! SG: I-4m2 (119)
! formation enthalpy at 0 K: 0.173 eV per atom
! M_tot: 0.99 μB/atom
&SYSTEM
  ibrav = 0, nat = 4, ntyp = 3
/
ATOMIC_SPECIES
Zr 91.22 Zr.upf
Mn 54.94 Mn.upf
La 138.91 La.upf
CELL_PARAMETERS angstrom
-2.347 -2.905 -2.408
0.426 -3.021 3.231
-2.798 4.443 1.467
ATOMIC_POSITIONS angstrom
Zr 0.000 0.000 0.000
Zr -3.053 -0.713 -0.264
Mn -1.667 -0.771 2.555
La -0.961 -2.963 0.412

(15)
! meta-GGA SCAN LaZrMn3, PBEsol geometry; values from VASP
! energy: -25.197 eV/atom
! SG: Pm-3m (221)
! formation enthalpy at 0 K: 0.517 eV per atom
! M_tot: 1.92 μB/atom
&SYSTEM
  ibrav = 0, nat = 5, ntyp = 3
/
ATOMIC_SPECIES
La 138.91 La.upf
Mn 54.94 Mn.upf
Zr 91.22 Zr.upf
CELL_PARAMETERS angstrom
4.794 0.000 0.000
0.000 4.794 0.000
0.000 0.000 4.794
ATOMIC_POSITIONS angstrom
La 2.397 2.397 2.397
Mn 2.397 0.000 0.000
Mn 0.000 2.397 0.000
Mn 0.000 0.000 2.397
Zr 0.000 0.000 0.000